# 1
PBE NaHg3Ru, optimized geometry; formation enthalpy at 0 K = 0.243 eV per atom; calculated volume = 146.0 Å³/cell; energy = -2.06 eV per atom; total magnetization = 0.08 μB per cell
1.0
5.266 0.000 0.000
0.000 5.266 0.000
0.000 0.000 5.266
Hg Ru Na
3 1 1
direct
0.000 0.500 0.000
0.500 0.000 0.000
0.000 0.000 0.500
0.000 0.000 0.000
0.500 0.500 0.500

# 2
PBE TiFePb2, optimized geometry; formation enthalpy at 0 K = 0.579 eV per atom; calculated volume = 77.6 Å³/cell; energy = -5.37 eV per atom; total magnetization = 0.00 μB per cell
1.0
0.000 3.385 3.385
3.385 0.000 3.385
3.385 3.385 0.000
Pb Fe Ti
2 1 1
direct
0.750 0.750 0.750
0.250 0.250 0.250
0.500 0.500 0.500
0.000 0.000 0.000

# 3
PBE SrRePb2N, optimized geometry; calculated volume = 191.2 Å³/cell; energy = -2.99 eV per atom; total magnetization = 2.62 μB per cell
1.0
6.036 0.000 0.000
0.000 5.248 0.000
0.000 0.000 6.036
Re Pb N Sr
1 2 1 1
direct
0.000 0.500 0.000
0.000 0.000 0.500
0.500 0.000 0.000
0.500 0.500 0.500
0.000 0.000 0.000

# 4
PBE SrZrSe2, optimized geometry; calculated volume = 122.8 Å³/cell; energy = -5.42 eV per atom; total magnetization = 0.30 μB per cell
1.0
4.338 4.784 7.088
7.097 2.229 6.050
6.675 5.559 4.062
Se Sr Zr
2 1 1
direct
0.110 0.110 0.110
0.890 0.890 0.890
0.000 0.000 0.000
0.500 0.500 0.500

# 5
PBE PrInPd4, optimized geometry; formation enthalpy at 0 K = -0.652 eV per atom; calculated volume = 114.4 Å³/cell; energy = -5.37 eV per atom; total magnetization = 0.00 μB per cell
1.0
-3.091 -3.655 -2.604
2.290 -4.424 -2.210
-0.863 -4.907 2.209
Pd Pr In
4 1 1
direct
0.626 0.626 0.626
0.123 0.626 0.626
0.626 0.626 0.123
0.626 0.123 0.626
0.250 0.250 0.250
0.000 0.000 0.000

# 6
PBE Pm6Sm12In, optimized geometry; formation enthalpy at 0 K = 0.080 eV per atom; calculated volume = 654.0 Å³/cell; energy = -4.55 eV per atom; total magnetization = 0.00 μB per cell
1.0
8.630 0.401 -1.456
-1.786 8.453 -1.456
0.310 0.401 8.747
Pm Sm In
6 12 1
direct
0.406 0.134 0.134
0.866 0.866 0.594
0.134 0.406 0.134
0.594 0.866 0.866
0.866 0.594 0.866
0.134 0.134 0.406
0.581 0.581 0.171
0.171 0.581 0.581
0.000 0.259 0.741
0.259 0.000 0.741
0.741 0.259 0.000
0.741 0.000 0.259
0.259 0.741 0.000
0.419 0.419 0.829
0.829 0.419 0.419
0.419 0.829 0.419
0.000 0.741 0.259
0.581 0.171 0.581
0.000 0.000 0.000